(1)
{"formula": "Sn4PdAu2", "functional": "PBE", "state": "optimized geometry", "e_form_mev_per_atom": 45, "dft_energy_ev_per_atom": -3.9208, "total_magnetization_mub_per_cell": 0.00, "lattice": [[5.295, 0.000, 0.000], [0.000, 5.295, 0.000], [2.648, 2.648, 6.768]], "species": ["Au", "Au", "Sn", "Sn", "Sn", "Sn", "Pd"], "fractional_positions": [[0.394, 0.394, 0.212], [0.606, 0.606, 0.788], [0.198, 0.198, 0.603], [0.802, 0.802, 0.397], [0.000, 0.500, 0.000], [0.500, 0.000, 0.000], [0.000, 0.000, 0.000]]}

---

(2)
{"formula": "Sn12Pd3Au5", "functional": "PBE", "state": "optimized geometry", "e_form_mev_per_atom": -148, "dft_energy_ev_per_atom": -4.1477, "total_magnetization_mub_per_cell": 0.00, "lattice": [[13.950, 0.000, 0.000], [-4.650, 13.152, 0.000], [-4.650, -6.576, 11.390]], "species": ["Au", "Au", "Au", "Au", "Au", "Au", "Au", "Au", "Au", "Au", "Au", "Au", "Au", "Au", "Au", "Au", "Au", "Au", "Au", "Au", "Sn", "Sn", "Sn", "Sn", "Sn", "Sn", "Sn", "Sn", "Sn", "Sn", "Sn", "Sn", "Sn", "Sn", "Sn", "Sn", "Sn", "Sn", "Sn", "Sn", "Sn", "Sn", "Sn", "Sn", "Sn", "Sn", "Sn", "Sn", "Sn", "Sn", "Sn", "Sn", "Sn", "Sn", "Sn", "Sn", "Sn", "Sn", "Sn", "Sn", "Sn", "Sn", "Sn", "Sn", "Sn", "Sn", "Sn", "Sn", "Pd", "Pd", "Pd", "Pd", "Pd", "Pd", "Pd", "Pd", "Pd", "Pd", "Pd", "Pd"], "fractional_positions": [[0.125, 0.375, 0.250], [0.000, 0.500, 0.000], [0.000, 0.000, 0.000], [0.375, 0.250, 0.125], [0.500, 0.000, 0.500], [0.500, 0.500, 0.000], [0.125, 0.750, 0.375], [0.750, 0.125, 0.875], [0.750, 0.625, 0.375], [0.375, 0.125, 0.750], [0.625, 0.875, 0.250], [0.500, 0.500, 0.500], [0.500, 0.000, 0.000], [0.000, 0.000, 0.500], [0.250, 0.375, 0.625], [0.250, 0.875, 0.125], [0.000, 0.500, 0.500], [0.875, 0.250, 0.625], [0.625, 0.750, 0.875], [0.875, 0.625, 0.750], [0.733, 0.132, 0.063], [0.330, 0.563, 0.431], [0.937, 0.368, 0.267], [0.563, 0.233, 0.132], [0.601, 0.733, 0.670], [0.937, 0.569, 0.170], [0.330, 0.767, 0.399], [0.069, 0.899, 0.132], [0.569, 0.937, 0.670], [0.733, 0.601, 0.170], [0.767, 0.437, 0.368], [0.830, 0.931, 0.063], [0.132, 0.733, 0.563], [0.368, 0.431, 0.101], [0.101, 0.931, 0.368], [0.399, 0.132, 0.569], [0.101, 0.170, 0.233], [0.437, 0.670, 0.069], [0.830, 0.899, 0.267], [0.132, 0.399, 0.069], [0.368, 0.937, 0.767], [0.569, 0.632, 0.399], [0.931, 0.830, 0.563], [0.767, 0.330, 0.899], [0.431, 0.368, 0.601], [0.069, 0.170, 0.437], [0.233, 0.670, 0.101], [0.170, 0.101, 0.733], [0.632, 0.063, 0.233], [0.868, 0.601, 0.931], [0.563, 0.330, 0.931], [0.601, 0.868, 0.431], [0.899, 0.830, 0.767], [0.899, 0.069, 0.632], [0.868, 0.267, 0.437], [0.170, 0.069, 0.937], [0.632, 0.569, 0.899], [0.431, 0.063, 0.330], [0.267, 0.399, 0.830], [0.233, 0.563, 0.632], [0.931, 0.101, 0.868], [0.670, 0.233, 0.601], [0.437, 0.767, 0.868], [0.063, 0.431, 0.830], [0.399, 0.267, 0.330], [0.063, 0.632, 0.733], [0.670, 0.437, 0.569], [0.267, 0.868, 0.937], [0.750, 0.375, 0.125], [0.875, 0.750, 0.125], [0.375, 0.750, 0.625], [0.250, 0.125, 0.375], [0.875, 0.125, 0.250], [0.375, 0.625, 0.250], [0.625, 0.375, 0.750], [0.125, 0.875, 0.750], [0.750, 0.875, 0.625], [0.625, 0.250, 0.375], [0.125, 0.250, 0.875], [0.250, 0.625, 0.875]]}

---

(3)
{"formula": "Sn3PdAu", "functional": "PBE", "state": "optimized geometry", "e_form_mev_per_atom": 151, "dft_energy_ev_per_atom": -3.9443, "total_magnetization_mub_per_cell": 0.00, "lattice": [[5.167, 0.000, 0.000], [0.000, 5.167, 0.000], [0.000, 0.000, 5.167]], "species": ["Au", "Sn", "Sn", "Sn", "Pd"], "fractional_positions": [[0.500, 0.500, 0.500], [0.000, 0.500, 0.000], [0.000, 0.000, 0.500], [0.500, 0.000, 0.000], [0.000, 0.000, 0.000]]}